No. 1
Computed, not measured: crystalline Zr2Ta at its relaxed geometry at the PBE-GGA level of DFT.

abc: 5.3170 5.3170 5.3170
angles: 147.25 127.18 63.55
Last column: nearest neighbours and their distance in Å.
Fractional coordinates of all 3 atoms:
Ta: 0.0000 0.0000 0.0000  2 Ta 3.00, 10 Zr 3.04-3.17
Zr: 0.3366 0.3366 0.0000  7 Zr 2.95-3.21, 5 Ta 3.04-3.17
Zr: 0.6634 0.6634 0.0000  7 Zr 2.95-3.21, 5 Ta 3.04-3.17

DOS at the Fermi energy ... 4.77 states/eV per cell
Raw total energy ... -9.467 eV/atom
Magnetization ... 0.000 μB/atom
Energy of formation ... 0.182 eV per atom

---

No. 2
Computed, not measured: crystalline ReGe2Pd at its relaxed geometry at the PBE-GGA level of DFT.

abc: 2.9711 2.9711 8.9275
angles: 80.42 80.42 60.00
Last column: nearest neighbours and their distance in Å.
Fractional coordinates of all 4 atoms:
Re: 0.5000 0.5000 0.5000  6 Ge 2.60
Ge: 0.0924 0.0924 0.7227  1 Pd 2.43, 3 Re 2.60
Ge: 0.9076 0.9076 0.2773  1 Pd 2.43, 3 Re 2.60
Pd: 0.0000 0.0000 0.0000  2 Ge 2.43

DOS at the Fermi energy ... 2.39 states/eV per cell
Polymorph energy (0 for the lowest one) ... 0 meV/atom
Raw total energy ... -6.649 eV/atom
Magnetization ... 0.000 μB/atom
Energy of formation ... 0.070 eV per atom

---

No. 3
Computed, not measured: crystalline Ag2Pd5Pt2 at its relaxed geometry at the PBE-GGA level of DFT.

abc: 4.8789 7.4563 7.4980
angles: 141.96 108.97 89.91
Last column: nearest neighbours and their distance in Å.
Fractional coordinates of all 9 atoms:
Ag: 0.2202 0.4433 0.1084  9 Pd 2.80-2.84, 1 Ag 2.80, 2 Pt 2.85-2.86
Ag: 0.7798 0.5567 0.8916  9 Pd 2.80-2.84, 1 Ag 2.80, 2 Pt 2.85-2.86
Pd: 0.4514 0.8944 0.2270  2 Pt 2.80-2.83, 4 Ag 2.80-2.84, 6 Pd 2.81-2.84
Pd: 0.5486 0.1056 0.7730  2 Pt 2.80-2.83, 4 Ag 2.80-2.84, 6 Pd 2.81-2.84
Pd: 0.1144 0.2237 0.5558  2 Pt 2.80-2.82, 6 Pd 2.81-2.84, 4 Ag 2.81-2.84
Pd: 0.8856 0.7763 0.4442  2 Pt 2.80-2.82, 6 Pd 2.81-2.84, 4 Ag 2.81-2.84
Pd: 0.0000 0.0000 0.0000  6 Pt 2.79-2.84, 2 Ag 2.82, 4 Pd 2.83
Pt: 0.3294 0.6685 0.6688  3 Pt 2.79-2.86, 7 Pd 2.79-2.84, 2 Ag 2.85-2.86
Pt: 0.6706 0.3315 0.3312  3 Pt 2.79-2.86, 7 Pd 2.79-2.84, 2 Ag 2.85-2.86

DOS at the Fermi energy ... 16.56 states/eV per cell
Polymorph energy (0 for the lowest one) ... 0 meV/atom
Raw total energy ... -4.866 eV/atom
Magnetization ... 0.000 μB/atom
Energy of formation ... -0.005 eV per atom

---

No. 4
Computed, not measured: crystalline Pr8Ga2Hg at its relaxed geometry at the PBE-GGA level of DFT.

abc: 5.0930 8.8301 9.0518
angles: 119.19 106.34 90.00
Last column: nearest neighbours and their distance in Å.
Fractional coordinates of all 11 atoms:
Pr: 0.6617 0.8814 0.3234  3 Ga 3.24-3.28, 1 Hg 3.46, 5 Pr 3.51-3.56
Pr: 0.3383 0.5580 0.6766  3 Ga 3.24-3.28, 1 Hg 3.46, 5 Pr 3.51-3.56
Pr: 0.1426 0.1426 0.2851  2 Hg 3.32, 8 Pr 3.51-3.56, 2 Ga 3.53
Pr: 0.0000 0.3210 0.0000  5 Pr 3.16-3.53, 2 Ga 3.31
Pr: 0.8574 0.8574 0.7149  2 Hg 3.32, 8 Pr 3.51-3.56, 2 Ga 3.53
Pr: 0.6617 0.4420 0.3234  3 Ga 3.24-3.28, 1 Hg 3.46, 5 Pr 3.51-3.56
Pr: 0.3383 0.1186 0.6766  3 Ga 3.24-3.28, 1 Hg 3.46, 5 Pr 3.51-3.56
Pr: 0.0000 0.6790 0.0000  5 Pr 3.16-3.53, 2 Ga 3.31
Hg: 0.5000 0.0000 0.0000  8 Pr 3.32-3.46
Ga: 0.1940 0.6940 0.3880  10 Pr 3.24-3.53
Ga: 0.8060 0.3060 0.6120  10 Pr 3.24-3.53

DOS at the Fermi energy ... 13.22 states/eV per cell
Polymorph energy (0 for the lowest one) ... 44 meV/atom
Raw total energy ... -4.272 eV/atom
Magnetization ... 0.000 μB/atom
Energy of formation ... -0.218 eV per atom

---

No. 5
Computed, not measured: crystalline Ba2Bi3AsPd4 at its relaxed geometry at the PBE-GGA level of DFT.

abc: 4.8911 4.8911 10.8127
angles: 90.00 90.00 90.00
Last column: nearest neighbours and their distance in Å.
Fractional coordinates of all 10 atoms:
Ba: 0.5000 0.0000 0.2517  2 As 3.63, 6 Bi 3.63-3.71, 9 Pd 3.66-3.89
Ba: 0.0000 0.5000 0.7483  2 As 3.63, 6 Bi 3.63-3.71, 9 Pd 3.66-3.89
Bi: 0.0000 0.0000 0.5000  4 Pd 2.72
Bi: 0.5000 0.0000 0.8722  5 Pd 2.81-2.82
Bi: 0.0000 0.5000 0.1278  5 Pd 2.81-2.82
As: 0.5000 0.5000 0.5000  4 Pd 2.72
Pd: 0.5000 0.5000 0.0000  4 Bi 2.81
Pd: 0.0000 0.0000 0.0000  4 Bi 2.81
Pd: 0.5000 0.0000 0.6112  2 As 2.72, 3 Bi 2.72-2.82
Pd: 0.0000 0.5000 0.3888  2 As 2.72, 3 Bi 2.72-2.82

DOS at the Fermi energy ... 6.49 states/eV per cell
Raw total energy ... -4.728 eV/atom
Magnetization ... 0.000 μB/atom
Energy of formation ... -0.638 eV per atom

---

No. 6
Computed, not measured: crystalline Pr2Cd5Au at its relaxed geometry at the PBE-GGA level of DFT.

abc: 4.5966 9.2137 10.0188
angles: 90.00 90.00 104.44
Last column: nearest neighbours and their distance in Å.
Fractional coordinates of all 16 atoms:
Pr: 0.8143 0.6286 0.7500  10 Cd 3.29-3.56, 2 Au 3.39
Pr: 0.1857 0.3714 0.2500  10 Cd 3.29-3.56, 2 Au 3.39
Pr: 0.0000 0.0000 0.0000  6 Cd 3.41-3.67, 4 Au 3.50
Pr: 0.0000 0.0000 0.5000  6 Cd 3.41-3.67, 4 Au 3.50
Cd: 0.1972 0.3943 0.8958  6 Cd 2.84-3.16
Cd: 0.8028 0.6057 0.1042  6 Cd 2.84-3.16
Cd: 0.1972 0.3943 0.6042  6 Cd 2.84-3.16
Cd: 0.8028 0.6057 0.3958  6 Cd 2.84-3.16
Cd: 0.3595 0.7190 0.9709  1 Au 2.78, 4 Cd 2.84-2.99
Cd: 0.6405 0.2810 0.0291  1 Au 2.78, 4 Cd 2.84-2.99
Cd: 0.3595 0.7190 0.5291  1 Au 2.78, 4 Cd 2.84-2.99
Cd: 0.6405 0.2810 0.4709  1 Au 2.78, 4 Cd 2.84-2.99
Cd: 0.6073 0.2147 0.7500  1 Au 2.74, 2 Cd 2.86
Cd: 0.3927 0.7853 0.2500  1 Au 2.74, 2 Cd 2.86
Au: 0.4537 0.9075 0.7500  3 Cd 2.74-2.78
Au: 0.5463 0.0925 0.2500  3 Cd 2.74-2.78

DOS at the Fermi energy ... 10.82 states/eV per cell
Raw total energy ... -2.505 eV/atom
Magnetization ... 0.000 μB/atom
Energy of formation ... -0.328 eV per atom

---

No. 7
Computed, not measured: crystalline Li2SF4 at its relaxed geometry at the PBE-GGA level of DFT.

abc: 5.3724 5.3724 4.7724
angles: 124.25 124.25 90.00
Last column: nearest neighbours and their distance in Å.
Fractional coordinates of all 7 atoms:
Li: 0.7500 0.2500 0.5000  8 F 2.39
Li: 0.2500 0.7500 0.5000  8 F 2.39
S: 0.5000 0.5000 0.0000  4 F 1.90
F: 0.7508 0.2495 0.0003  1 S 1.90
F: 0.2495 0.7508 0.0003  1 S 1.90
F: 0.7505 0.7505 0.9997  1 S 1.90
F: 0.2492 0.2492 0.9997  1 S 1.90

Uncorrected formation energy ... -1878 meV/atom
DOS at the Fermi energy ... 0.00 states/eV per cell
Raw total energy ... -4.084 eV/atom
Magnetization ... 0.000 μB/atom

---

No. 8
Computed, not measured: crystalline PmAlGaRu at its relaxed geometry at the PBE-GGA level of DFT.

abc: 4.2545 4.2545 5.7397
angles: 68.25 68.25 60.00
Last column: nearest neighbours and their distance in Å.
Fractional coordinates of all 4 atoms:
Pm: 0.8074 0.8074 0.5778  4 Ga 3.11-3.27, 4 Al 3.14-3.23
Al: 0.6001 0.6001 0.1996  3 Ru 2.51, 3 Ga 2.78
Ga: 0.0177 0.0177 0.9470  3 Ru 2.58, 3 Al 2.78
Ru: 0.3007 0.3007 0.0979  3 Al 2.51, 3 Ga 2.58

DOS at the Fermi energy ... 2.62 states/eV per cell
Raw total energy ... -5.691 eV/atom
Magnetization ... 0.000 μB/atom
Energy of formation ... -0.492 eV per atom

---

No. 9
Computed, not measured: crystalline MnZn2S2 at its relaxed geometry at the PBE-GGA level of DFT.

abc: 6.9933 6.9933 3.7548
angles: 90.00 90.00 90.00
Last column: nearest neighbours and their distance in Å.
Fractional coordinates of all 10 atoms:
Zn: 0.1213 0.6213 0.5000  2 S 2.37, 1 Zn 2.40
Zn: 0.6213 0.8787 0.5000  2 S 2.37, 1 Zn 2.40
Zn: 0.8787 0.3787 0.5000  2 S 2.37, 1 Zn 2.40
Zn: 0.3787 0.1213 0.5000  2 S 2.37, 1 Zn 2.40
Mn: 0.0000 0.0000 0.0000  4 S 2.48
Mn: 0.5000 0.5000 0.0000  4 S 2.48
S: 0.2672 0.7672 0.0000  2 Zn 2.37, 2 Mn 2.48
S: 0.7672 0.7328 0.0000  2 Zn 2.37, 2 Mn 2.48
S: 0.7328 0.2328 0.0000  2 Zn 2.37, 2 Mn 2.48
S: 0.2328 0.2672 0.0000  2 Zn 2.37, 2 Mn 2.48

Uncorrected formation energy ... -140 meV/atom
DOS at the Fermi energy ... 7.49 states/eV per cell
Raw total energy ... -4.134 eV/atom
Magnetization ... 0.789 μB/atom

---

No. 10
Computed, not measured: crystalline LaPr6Nd2Dy at its relaxed geometry at the PBE-GGA level of DFT.

abc: 10.0582 9.0721 9.0721
angles: 118.24 94.78 94.78
Last column: nearest neighbours and their distance in Å.
Fractional coordinates of all 20 atoms:
La: 0.2500 0.4042 0.5958  6 Pr 3.54-3.70, 2 Nd 3.71
La: 0.7500 0.5958 0.4042  6 Pr 3.54-3.70, 2 Nd 3.71
Pr: 0.0551 0.1162 0.7533  5 Pr 3.49-3.79, 1 Nd 3.51, 1 Dy 3.72
Pr: 0.4449 0.2467 0.8838  5 Pr 3.49-3.79, 1 Nd 3.51, 1 Dy 3.72
Pr: 0.9449 0.8838 0.2467  5 Pr 3.49-3.79, 1 Nd 3.51, 1 Dy 3.72
Pr: 0.5551 0.7533 0.1162  5 Pr 3.49-3.79, 1 Nd 3.51, 1 Dy 3.72
Pr: 0.3150 0.9777 0.4253  4 Pr 3.37-3.77, 1 Nd 3.54, 1 La 3.57, 1 Dy 3.66
Pr: 0.1850 0.5747 0.0223  4 Pr 3.37-3.77, 1 Nd 3.54, 1 La 3.57, 1 Dy 3.66
Pr: 0.6850 0.0223 0.5747  4 Pr 3.37-3.77, 1 Nd 3.54, 1 La 3.57, 1 Dy 3.66
Pr: 0.8150 0.4253 0.9777  4 Pr 3.37-3.77, 1 Nd 3.54, 1 La 3.57, 1 Dy 3.66
Pr: 0.1210 0.7050 0.4994  3 Nd 3.37-3.57, 3 Pr 3.37-3.49, 2 La 3.54-3.70
Pr: 0.3790 0.5006 0.2950  3 Nd 3.37-3.57, 3 Pr 3.37-3.49, 2 La 3.54-3.70
Pr: 0.8790 0.2950 0.5006  3 Nd 3.37-3.57, 3 Pr 3.37-3.49, 2 La 3.54-3.70
Pr: 0.6210 0.4994 0.7050  3 Nd 3.37-3.57, 3 Pr 3.37-3.49, 2 La 3.54-3.70
Nd: 0.4572 0.8116 0.7131  5 Pr 3.37-3.57, 2 Dy 3.41-3.46, 1 La 3.71
Nd: 0.0428 0.2869 0.1884  5 Pr 3.37-3.57, 2 Dy 3.41-3.46, 1 La 3.71
Nd: 0.5428 0.1884 0.2869  5 Pr 3.37-3.57, 2 Dy 3.41-3.46, 1 La 3.71
Nd: 0.9572 0.7131 0.8116  5 Pr 3.37-3.57, 2 Dy 3.41-3.46, 1 La 3.71
Dy: 0.2500 0.9780 0.0220  4 Nd 3.41-3.46, 4 Pr 3.66-3.72
Dy: 0.7500 0.0220 0.9780  4 Nd 3.41-3.46, 4 Pr 3.66-3.72

DOS at the Fermi energy ... 31.98 states/eV per cell
Raw total energy ... -4.664 eV/atom
Magnetization ... 0.000 μB/atom
Energy of formation ... 0.110 eV per atom

---

No. 11
Computed, not measured: crystalline ZnHg3Br at its relaxed geometry at the PBE-GGA level of DFT.

abc: 5.3021 5.3021 5.3021
angles: 90.00 90.00 90.00
Last column: nearest neighbours and their distance in Å.
Fractional coordinates of all 5 atoms:
Zn: 0.0000 0.0000 0.0000  6 Hg 2.65
Hg: 0.0000 0.5000 0.0000  2 Zn 2.65
Hg: 0.0000 0.0000 0.5000  2 Zn 2.65
Hg: 0.5000 0.0000 0.0000  2 Zn 2.65
Br: 0.5000 0.5000 0.5000  12 Hg 3.75

Uncorrected formation energy ... -91 meV/atom
DOS at the Fermi energy ... 1.07 states/eV per cell
Polymorph energy (0 for the lowest one) ... 0 meV/atom
Raw total energy ... -0.861 eV/atom
Magnetization ... 0.000 μB/atom

---

No. 12
Computed, not measured: crystalline GaPbN2O at its relaxed geometry at the PBE-GGA level of DFT.

abc: 4.7743 4.7743 4.3663
angles: 90.00 90.00 90.00
Last column: nearest neighbours and their distance in Å.
Fractional coordinates of all 5 atoms:
Pb: 0.0000 0.0000 0.0000  2 O 2.18, 4 N 2.39
O: 0.0000 0.0000 0.5000  2 Pb 2.18
Ga: 0.5000 0.5000 0.5000  8 N 3.23, 4 O 3.38
N: 0.0000 0.5000 0.0000  2 Pb 2.39
N: 0.5000 0.0000 0.0000  2 Pb 2.39

Uncorrected formation energy ... 1350 meV/atom
DOS at the Fermi energy ... 2.09 states/eV per cell
Raw total energy ... -4.319 eV/atom
Magnetization ... 0.649 μB/atom

---

Q: Look up the DOS at the Fermi energy of the fourth one.
A: 13.22 states/eV per cell

---

Please write out number 9 again, unchanged.
Computed, not measured: crystalline MnZn2S2 at its relaxed geometry at the PBE-GGA level of DFT.

abc: 6.9933 6.9933 3.7548
angles: 90.00 90.00 90.00
Last column: nearest neighbours and their distance in Å.
Fractional coordinates of all 10 atoms:
Zn: 0.1213 0.6213 0.5000  2 S 2.37, 1 Zn 2.40
Zn: 0.6213 0.8787 0.5000  2 S 2.37, 1 Zn 2.40
Zn: 0.8787 0.3787 0.5000  2 S 2.37, 1 Zn 2.40
Zn: 0.3787 0.1213 0.5000  2 S 2.37, 1 Zn 2.40
Mn: 0.0000 0.0000 0.0000  4 S 2.48
Mn: 0.5000 0.5000 0.0000  4 S 2.48
S: 0.2672 0.7672 0.0000  2 Zn 2.37, 2 Mn 2.48
S: 0.7672 0.7328 0.0000  2 Zn 2.37, 2 Mn 2.48
S: 0.7328 0.2328 0.0000  2 Zn 2.37, 2 Mn 2.48
S: 0.2328 0.2672 0.0000  2 Zn 2.37, 2 Mn 2.48

Uncorrected formation energy ... -140 meV/atom
DOS at the Fermi energy ... 7.49 states/eV per cell
Raw total energy ... -4.134 eV/atom
Magnetization ... 0.789 μB/atom